VASP calculation (PBE-GGA) on SrPrSi3Ag after structural relaxation.

Crystal system: orthorhombic
ρ: 5.156 g/cm3
Energy: -4.817 eV per atom
Size of the total moment: 0.000 μB/atom

Unit cell a=8.556 b=8.460 c=6.078 alpha=69.92 beta=68.23 gamma=41.85
Atoms (fractional coordinates):
Ag 0.832 0.832 0.168
Ag 0.168 0.168 0.832
Pr 0.258 0.742 0.258
Pr 0.742 0.258 0.742
Si 0.826 0.333 0.174
Si 0.667 0.174 0.333
Si 0.659 0.659 0.341
Si 0.341 0.341 0.659
Si 0.333 0.826 0.667
Si 0.174 0.667 0.826
Sr 0.250 0.250 0.250
Sr 0.750 0.750 0.750

---

VASP calculation (PBE-GGA) on KRbBiAu after structural relaxation.

Crystal system: orthorhombic
ρ: 5.675 g/cm3
Energy: -2.774 eV per atom

Unit cell a=6.995 b=6.835 c=6.835 alpha=108.19 beta=90.00 gamma=90.00
Atoms (fractional coordinates):
Au 0.254 0.997 0.997
Au 0.746 0.997 0.997
Bi 0.500 0.269 0.269
Bi 0.000 0.731 0.731
K 0.500 0.849 0.509
K 0.500 0.509 0.849
Rb 0.000 0.494 0.153
Rb 0.000 0.153 0.494

---

VASP calculation (PBE-GGA) on BeReB4 after structural relaxation.

Crystal system: hexagonal
ρ: 8.292 g/cm3
Energy: -7.014 eV per atom
Size of the total moment: 0.000 μB/atom

Unit cell a=2.914 b=2.914 c=6.495 alpha=90.00 beta=90.00 gamma=120.00
Atoms (fractional coordinates):
B 0.667 0.333 0.274
B 0.333 0.667 0.274
B 0.667 0.333 0.726
B 0.333 0.667 0.726
Be 0.000 0.000 0.500
Re 0.000 0.000 0.000

---

VASP calculation (PBE-GGA) on Er3LuGe2C2 after structural relaxation.

Crystal system: trigonal
ρ: 8.787 g/cm3
Energy: -6.259 eV per atom
Size of the total moment: 0.000 μB/atom

Unit cell a=3.534 b=3.534 c=14.778 alpha=90.00 beta=90.00 gamma=120.00
Atoms (fractional coordinates):
C 0.333 0.667 0.500
C 0.333 0.667 0.999
Er 0.667 0.333 0.089
Er 0.667 0.333 0.409
Er 0.000 0.000 0.591
Ge 0.000 0.000 0.250
Ge 0.667 0.333 0.752
Lu 0.000 0.000 0.910

---

VASP calculation (PBE-GGA) on PaZn after structural relaxation.

Crystal system: orthorhombic
ρ: 11.991 g/cm3
Energy: -5.338 eV per atom
Size of the total moment: 0.000 μB/atom
Calculated formation energy: 0.042 eV per atom

Unit cell a=4.891 b=13.738 c=4.888 alpha=90.00 beta=90.00 gamma=90.00
Atoms (fractional coordinates):
Pa 0.918 0.252 0.000
Pa 0.417 0.375 0.000
Pa 0.918 0.498 0.000
Pa 0.417 0.875 0.000
Pa 0.917 0.375 0.500
Pa 0.416 0.752 0.500
Pa 0.916 0.875 0.500
Pa 0.416 0.998 0.500
Zn 0.917 0.021 0.000
Zn 0.418 0.125 0.000
Zn 0.418 0.625 0.000
Zn 0.917 0.729 0.000
Zn 0.916 0.125 0.500
Zn 0.416 0.229 0.500
Zn 0.416 0.521 0.500
Zn 0.916 0.625 0.500

---

VASP calculation (PBE-GGA) on LiScCuSb after structural relaxation.

Crystal system: cubic
ρ: 5.779 g/cm3
Energy: -4.271 eV per atom
Size of the total moment: 0.000 μB/atom

Unit cell a=4.585 b=4.585 c=4.585 alpha=60.00 beta=60.00 gamma=60.00
Atoms (fractional coordinates):
Cu 0.500 0.500 0.500
Li 0.000 0.000 0.000
Sb 0.250 0.250 0.250
Sc 0.750 0.750 0.750

---

VASP calculation (PBE-GGA) on Fe2GeAu after structural relaxation.

Crystal system: cubic
ρ: 11.371 g/cm3
Energy: -5.899 eV per atom
Size of the total moment: 1.331 μB/atom

Unit cell a=4.286 b=4.286 c=4.286 alpha=60.00 beta=60.00 gamma=60.00
Site moments in Bohr magnetons follow the coordinates.
Atoms (fractional coordinates):
Au 0.250 0.250 0.250  0.07
Fe 0.000 0.000 0.000  2.77
Fe 0.750 0.750 0.750  2.40
Ge 0.500 0.500 0.500  0.03

---

VASP calculation (PBE-GGA) on LiNdTe3Pb after structural relaxation.

Crystal system: orthorhombic
ρ: 6.459 g/cm3
Energy: -4.235 eV per atom
Size of the total moment: 0.000 μB/atom

Unit cell a=7.607 b=7.607 c=11.744 alpha=90.00 beta=90.00 gamma=145.89
Atoms (fractional coordinates):
Li 0.978 0.022 0.250
Li 0.022 0.978 0.750
Nd 0.500 0.500 0.000
Nd 0.500 0.500 0.500
Pb 0.263 0.737 0.250
Pb 0.737 0.263 0.750
Te 0.856 0.144 0.070
Te 0.590 0.410 0.250
Te 0.856 0.144 0.430
Te 0.144 0.856 0.570
Te 0.410 0.590 0.750
Te 0.144 0.856 0.930

---

VASP calculation (PBE-GGA) on ScZnFePt after structural relaxation.

Crystal system: cubic
ρ: 9.462 g/cm3
Energy: -5.866 eV per atom
Size of the total moment: 0.758 μB/atom
Calculated formation energy: -0.377 eV per atom

Unit cell a=4.476 b=4.476 c=4.476 alpha=60.00 beta=60.00 gamma=60.00
Atoms (fractional coordinates):
Fe 0.750 0.750 0.750
Pt 0.500 0.500 0.500
Sc 0.250 0.250 0.250
Zn 0.000 0.000 0.000

---

VASP calculation (PBE-GGA) on BaAl2Au2 after structural relaxation.

Crystal system: tetragonal
ρ: 8.216 g/cm3
Energy: -3.727 eV per atom

Unit cell a=6.313 b=6.313 c=6.313 alpha=136.35 beta=136.35 gamma=63.44
Atoms (fractional coordinates):
Al 0.365 0.365 0.000
Al 0.635 0.635 0.000
Au 0.750 0.250 0.500
Au 0.250 0.750 0.500
Ba 0.000 0.000 0.000

---

VASP calculation (PBE-GGA) on SmSn2Se3 after structural relaxation.

Crystal system: trigonal
ρ: 6.075 g/cm3
Energy: -4.719 eV per atom
Size of the total moment: 0.010 μB/atom

Unit cell a=4.125 b=4.125 c=11.585 alpha=90.00 beta=90.00 gamma=120.00
Atoms (fractional coordinates):
Se 0.000 0.000 0.000
Se 0.667 0.333 0.354
Se 0.333 0.667 0.646
Sm 0.000 0.000 0.500
Sn 0.333 0.667 0.158
Sn 0.667 0.333 0.842

---

VASP calculation (PBE-GGA) on Y4SnAuN2 after structural relaxation.

Crystal system: hexagonal
ρ: 7.148 g/cm3
Energy: -7.367 eV per atom
Size of the total moment: 0.004 μB/atom

Unit cell a=3.542 b=3.542 c=14.952 alpha=90.00 beta=90.00 gamma=120.00
Atoms (fractional coordinates):
Au 0.000 0.000 0.000
N 0.333 0.667 0.247
N 0.333 0.667 0.753
Sn 0.667 0.333 0.500
Y 0.667 0.333 0.149
Y 0.000 0.000 0.330
Y 0.000 0.000 0.670
Y 0.667 0.333 0.851